1.
The following is a meta-GGA SCAN calculation of InCo2Ir at its PBEsol-relaxed geometry, from Alexandria.

Output
Its formation enthalpy at 0 K is 0.62 eV/f.u. The calculation puts the size of the total moment at 4.0 μB per formula unit.

Cell: 2.802 3.389 5.740 Å, 90.00 90.00 90.00°
Atoms (fractional coordinates):
In 0.000 0.000 0.000
Co 0.000 0.000 0.528
Co 0.500 0.500 0.731
Ir 0.500 0.500 0.296

***

2.
The following is a meta-GGA SCAN calculation of In2CoIr at its PBEsol-relaxed geometry, from Alexandria.

Output
Its formation enthalpy at 0 K is 0.85 eV/f.u. The calculation puts the size of the total moment at 1.7 μB per formula unit.

Cell: 4.521 4.521 5.187 Å, 101.26 101.26 38.84°
Atoms (fractional coordinates):
In 0.246 0.246 0.242
In 0.754 0.754 0.758
Co 0.500 0.500 0.000
Ir 0.000 0.000 0.500

***

3.
The following is a meta-GGA SCAN calculation of In2CoIr at its PBEsol-relaxed geometry, from Alexandria.

Output
Its formation enthalpy at 0 K is 1.02 eV/f.u. The calculation puts the size of the total moment at 1.3 μB per formula unit.

Cell: 8.544 8.544 8.544 Å, 20.10 20.10 20.10°
Atoms (fractional coordinates):
In 0.246 0.246 0.246
In 0.754 0.754 0.754
Co 0.500 0.500 0.500
Ir 0.000 0.000 0.000